# NaTa3Cu

A geometry-optimized NaTa3Cu structure (PBE, Alexandria).

Calculated density, g/cm³: 10.52
ΔE_f, eV/atom: 2.4942
V, Å³/atom: 19.87
M_tot, μB per cell: 0.00

Cell: 4.632 4.632 4.632 Å, 90.00 90.00 90.00°
Space group Pm-3m (No. 221)
Symmetry-distinct sites (fractional):
Na  0.000  0.000  0.000 (multiplicity 1)
Ta  0.000  0.000  0.500 (multiplicity 3)
Cu  0.500  0.500  0.500 (multiplicity 1)